# Mn2CdGeO6

Crystalline Mn2CdGeO6 at its relaxed geometry (PBE with a Hubbard U, the Alexandria database).

Lattice parameters (Å, degrees): 5.7258 5.7258 5.7258 53.70 53.70 53.70
With the nearest neighbours (Å) after each atom.
Atoms (fractional coordinates):
Mn: 0.0000 0.0000 0.0000  6 O 1.95-2.00
Mn: 0.4809 0.4809 0.4809  6 O 2.12-2.28
Cd: 0.2100 0.2100 0.2100  3 O 2.21
Ge: 0.6834 0.6834 0.6834  6 O 1.91-1.97
O: 0.0540 0.4054 0.7777  1 Ge 1.91, 2 Mn 2.00-2.12
O: 0.2821 0.8573 0.6528  1 Mn 1.95, 1 Ge 1.97
O: 0.4054 0.7777 0.0540  1 Ge 1.91, 2 Mn 2.00-2.12
O: 0.6528 0.2821 0.8573  1 Mn 1.95, 1 Ge 1.97
O: 0.7777 0.0540 0.4054  1 Ge 1.91, 2 Mn 2.00-2.12
O: 0.8573 0.6528 0.2821  1 Mn 1.95, 1 Ge 1.97

Values from the calculation:
Spin magnetization ... 8.00 μB per formula unit
Calculated total energy ... -6.504 eV/atom